1.
Here is crystalline CoSi2P at its relaxed geometry from Alexandria. Energies are from PBE.

The structure in POSCAR format:
```
CoSi2P
1.0
-4.4444 -3.0376 0.2079
2.5450 -3.9083 -2.6966
0.5464 -5.3765 2.9266
Si Co P
4 2 2
direct
0.6395 0.1250 0.2500 Si
0.1105 0.6250 0.2500 Si
0.3750 0.3605 0.7500 Si
0.8750 0.8895 0.7500 Si
0.0000 0.0000 0.0000 Co
0.7500 0.2500 0.5000 Co
0.2500 0.7500 0.5000 P
0.5000 0.5000 0.0000 P
```

## Properties
formation energy from raw total energies: 0.10 eV/atom
ΔE to the lowest computed polymorph: 240 meV per atom

2.
Here is crystalline Lu3ThN at its relaxed geometry from Alexandria. Energies are from PBE.

The structure in POSCAR format:
```
Lu3ThN
1.0
-2.3239 -4.1123 1.1747
1.4914 0.4738 4.6089
-4.0083 2.5604 1.0339
Lu Th N
3 1 1
direct
0.5000 0.0000 0.0000 Lu
0.0000 0.0000 0.5000 Lu
0.0000 0.5000 0.0000 Lu
0.5000 0.5000 0.5000 Th
0.0000 0.0000 0.0000 N
```

## Properties
formation energy from raw total energies: -0.47 eV/atom

3.
Here is crystalline Sr2LiBe at its relaxed geometry from Alexandria. Energies are from PBE.

The structure in POSCAR format:
```
Sr2LiBe
1.0
-0.5391 5.0590 -1.8201
-4.5985 2.7044 0.8582
-0.0961 4.1289 3.4842
Li Sr Be
1 2 1
direct
0.7500 0.7500 0.7500 Li
0.0000 0.0000 0.0000 Sr
0.2500 0.2500 0.2500 Sr
0.5000 0.5000 0.5000 Be
```

## Properties
ΔE_f: 0.48 eV per atom

4.
Here is crystalline Mn3CdNi at its relaxed geometry from Alexandria. Energies are from PBE.

The structure in POSCAR format:
```
Mn3CdNi
1.0
-4.7155 -0.0542 -1.3469
0.8286 -3.9818 -2.7407
-1.0632 -2.8627 3.8376
Mn Cd Ni
3 1 1
direct
0.0000 0.0000 0.5000 Mn
0.0000 0.5000 0.0000 Mn
0.5000 0.0000 0.0000 Mn
0.0000 0.0000 0.0000 Cd
0.5000 0.5000 0.5000 Ni
```

## Properties
ΔE to the lowest computed polymorph: 953 meV per atom
ΔE_f: 1.63 eV per atom

5.
Here is crystalline AlCr2Se at its relaxed geometry from Alexandria. Energies are from PBE.

The structure in POSCAR format:
```
AlCr2Se
1.0
-4.6165 -0.7245 0.5992
-3.1172 -3.3293 1.1810
-0.6605 0.5810 4.3032
Se Cr Al
1 2 1
direct
0.4961 0.4961 0.5432 Se
0.7606 0.7606 0.7053 Cr
0.9936 0.9936 0.0412 Cr
0.2497 0.2497 0.2103 Al
```

## Properties
formation energy from raw total energies: 0.14 eV/atom
ΔE to the lowest computed polymorph: 132 meV per atom

6.
Here is crystalline Ce3Hg8 at its relaxed geometry from Alexandria. Energies are from PBE.

The structure in POSCAR format:
```
Ce3Hg8
1.0
4.9812 0.0000 1.0938
2.3705 4.3810 1.0938
-0.1937 -0.1154 12.7714
Hg Ce
8 3
direct
0.8314 0.8314 0.5057 Hg
0.9143 0.9143 0.2571 Hg
0.3634 0.3634 0.9097 Hg
0.0857 0.0857 0.7429 Hg
0.6366 0.6366 0.0903 Hg
0.7272 0.7272 0.8184 Hg
0.1686 0.1686 0.4943 Hg
0.2728 0.2728 0.1816 Hg
0.5490 0.5490 0.3531 Ce
0.4510 0.4510 0.6469 Ce
0.0000 0.0000 0.0000 Ce
```

## Properties
ΔE_f: -0.30 eV per atom

7.
Here is crystalline HoThIr4 at its relaxed geometry from Alexandria. Energies are from PBE.

The structure in POSCAR format:
```
HoThIr4
1.0
-3.4996 -3.1239 -2.6897
-0.4540 -5.2427 1.2441
-4.4541 -1.8169 2.4698
Ir Ho Th
4 1 1
direct
0.6256 0.6256 0.1233 Ir
0.6256 0.6256 0.6256 Ir
0.6256 0.1233 0.6256 Ir
0.1233 0.6256 0.6256 Ir
0.0000 0.0000 0.0000 Ho
0.2500 0.2500 0.2500 Th
```

## Properties
ΔE_f: -0.82 eV per atom

8.
Here is crystalline Cd2GaSn at its relaxed geometry from Alexandria. Energies are from PBE.

The structure in POSCAR format:
```
Cd2GaSn
1.0
-1.7728 -0.4717 -4.2459
-4.1104 -0.4358 1.7646
-0.5800 4.4496 -0.2522
Ga Cd Sn
1 2 1
direct
0.5000 0.5000 0.5000 Ga
0.0000 0.5000 0.0000 Cd
0.0000 0.0000 0.5000 Cd
0.5000 0.0000 0.0000 Sn
```

## Properties
ΔE to the lowest computed polymorph: 10 meV per atom
ΔE_f: 0.06 eV per atom

9.
Here is crystalline Mn5Tl3I12 at its relaxed geometry from Alexandria. Energies are from PBE.

The structure in POSCAR format:
```
Mn5Tl3I12
1.0
-4.1386 -10.2589 11.4853
13.8275 -4.5805 -6.4889
1.6279 14.5862 6.2352
Tl Mn I
12 20 48
direct
0.7500 0.8750 0.6250 Tl
0.8750 0.1250 0.2500 Tl
0.1250 0.8750 0.7500 Tl
0.1250 0.2500 0.8750 Tl
0.7500 0.3750 0.1250 Tl
0.3750 0.6250 0.2500 Tl
0.6250 0.2500 0.3750 Tl
0.8750 0.7500 0.1250 Tl
0.2500 0.1250 0.3750 Tl
0.2500 0.6250 0.8750 Tl
0.3750 0.7500 0.6250 Tl
0.6250 0.3750 0.7500 Tl
0.3750 0.1250 0.7500 Mn
0.0000 0.5000 0.5000 Mn
0.1250 0.7500 0.3750 Mn
0.5000 0.0000 0.5000 Mn
0.0000 0.5000 0.0000 Mn
0.8750 0.2500 0.6250 Mn
0.6250 0.8750 0.2500 Mn
0.6250 0.7500 0.8750 Mn
0.5000 0.0000 0.0000 Mn
0.0000 0.0000 0.5000 Mn
0.5000 0.5000 0.0000 Mn
0.1250 0.3750 0.2500 Mn
0.0000 0.0000 0.0000 Mn
0.5000 0.5000 0.5000 Mn
0.2500 0.3750 0.6250 Mn
0.3750 0.2500 0.1250 Mn
0.7500 0.1250 0.8750 Mn
0.7500 0.6250 0.3750 Mn
0.2500 0.8750 0.1250 Mn
0.8750 0.6250 0.7500 Mn
0.1803 0.0867 0.6999 I
0.0936 0.1803 0.4803 I
0.8867 0.3001 0.4803 I
0.0867 0.9064 0.3867 I
0.1999 0.6803 0.0867 I
0.5867 0.8867 0.4064 I
0.6133 0.0197 0.1999 I
0.1133 0.6999 0.5197 I
0.5936 0.9803 0.6803 I
0.8001 0.4803 0.3867 I
0.6803 0.1999 0.5867 I
0.3867 0.9803 0.8001 I
0.0197 0.6133 0.6999 I
0.3197 0.5197 0.4064 I
0.6133 0.5936 0.9133 I
0.4064 0.0197 0.3197 I
0.9064 0.0867 0.8867 I
0.9803 0.3867 0.3001 I
0.4803 0.6803 0.0936 I
0.0197 0.4064 0.8197 I
0.1133 0.4133 0.0936 I
0.3197 0.8001 0.4133 I
0.1803 0.0936 0.9803 I
0.6803 0.4803 0.5936 I
0.3001 0.4133 0.8197 I
0.4133 0.1133 0.5936 I
0.0867 0.1803 0.1999 I
0.3001 0.8867 0.9803 I
0.5936 0.6133 0.4133 I
0.4064 0.3867 0.5867 I
0.1999 0.5197 0.6133 I
0.8867 0.5867 0.9064 I
0.8197 0.9064 0.0197 I
0.9133 0.0936 0.6133 I
0.0936 0.9133 0.1133 I
0.4133 0.3001 0.3197 I
0.4803 0.8001 0.8867 I
0.5867 0.6999 0.6803 I
0.5197 0.3197 0.9064 I
0.9064 0.8197 0.5197 I
0.9803 0.5936 0.1803 I
0.9133 0.8197 0.8001 I
0.8001 0.3197 0.9133 I
0.8197 0.9133 0.3001 I
0.6999 0.1133 0.0197 I
0.5197 0.1999 0.1133 I
0.6999 0.5867 0.1803 I
0.3867 0.4064 0.0867 I
```

## Properties
formation energy from raw total energies: -0.41 eV/atom

10.
Here is crystalline HfTaTe2 at its relaxed geometry from Alexandria. Energies are from PBE.

The structure in POSCAR format:
```
HfTaTe2
1.0
-0.6682 0.6050 4.8364
-4.4637 1.1075 1.7469
-2.5345 -3.3426 2.5702
Te Ta Hf
2 1 1
direct
0.2500 0.2500 0.2500 Te
0.7500 0.7500 0.7500 Te
0.5000 0.5000 0.5000 Ta
0.0000 0.0000 0.0000 Hf
```

## Properties
formation energy from raw total energies: -0.15 eV/atom
ΔE to the lowest computed polymorph: 0 meV per atom

11.
Here is crystalline In2NiMo at its relaxed geometry from Alexandria. Energies are from PBE.

The structure in POSCAR format:
```
In2NiMo
1.0
-1.3782 4.0706 0.8817
-3.0057 -0.6241 -1.8171
-1.9186 -1.4447 3.6711
In Ni Mo
2 1 1
direct
0.5000 0.1251 0.3749 In
0.0000 0.1251 0.8757 In
0.5000 0.6248 0.8736 Ni
0.0000 0.6251 0.3758 Mo
```

## Properties
ΔE to the lowest computed polymorph: 10 meV per atom
ΔE_f: 0.21 eV per atom

12.
Here is crystalline Ce4SnBi at its relaxed geometry from Alexandria. Energies are from PBE.

The structure in POSCAR format:
```
Ce4SnBi
1.0
5.6242 0.0000 0.0000
0.0000 7.8516 0.5583
-2.8121 -2.5381 8.1054
Ce Bi Sn
8 2 2
direct
0.0543 0.4059 0.6849 Ce
0.4707 0.4649 0.1325 Ce
0.6618 0.9649 0.1325 Ce
0.3382 0.0351 0.8675 Ce
0.5293 0.5351 0.8675 Ce
0.9457 0.5941 0.3151 Ce
0.6306 0.9059 0.6849 Ce
0.3694 0.0941 0.3151 Ce
0.0877 0.7500 0.0000 Bi
0.9123 0.2500 0.0000 Bi
0.0000 0.0000 0.5000 Sn
0.5000 0.5000 0.5000 Sn
```

## Properties
ΔE to the lowest computed polymorph: 0 meV per atom
ΔE_f: -0.36 eV per atom

Number 5 is which compound?
AlCr2Se